Record 1
Entry from Alexandria via LeMat-Bulk: crystalline Tl3InHg8 at its relaxed geometry (GGA-PBE).

V = 28.29 A^3/atom
N(E_F) = 5.78 states/eV/cell
Final energy = -0.986 eV/atom
Theoretical density = 11.4 Mg/m³

Cell and atoms, written as CIF:
```
data_Tl3InHg8
_cell_length_a 10.779
_cell_length_b 10.779
_cell_length_c 10.779
_cell_angle_alpha 33.48
_cell_angle_beta 33.48
_cell_angle_gamma 33.48
_symmetry_space_group_name_H-M 'P 1'
_symmetry_Int_Tables_number 1
_symmetry_space_group_name_Hall 'P 1'
loop_
_atom_site_label
_atom_site_type_symbol
_atom_site_fract_x
_atom_site_fract_y
_atom_site_fract_z
_atom_site_occupancy
Tl1 Tl 0.000 0.000 0.000 1
Tl2 Tl 0.126 0.126 0.126 1
Tl3 Tl 0.625 0.625 0.625 1
In1 In 0.501 0.501 0.501 1
Hg1 Hg 0.063 0.063 0.562 1
Hg2 Hg 0.063 0.562 0.063 1
Hg3 Hg 0.064 0.563 0.563 1
Hg4 Hg 0.313 0.313 0.313 1
Hg5 Hg 0.562 0.063 0.063 1
Hg6 Hg 0.563 0.064 0.563 1
Hg7 Hg 0.563 0.563 0.064 1
Hg8 Hg 0.813 0.813 0.813 1
```

Record 2
Entry from Alexandria via LeMat-Bulk: crystalline TlInHg2 at its relaxed geometry (GGA-PBE).

V = 27.94 A^3/atom
N(E_F) = 1.68 states/eV/cell
Final energy = -1.372 eV/atom
Theoretical density = 10.7 Mg/m³

Cell and atoms, written as CIF:
```
data_TlInHg2
_cell_length_a 5.406
_cell_length_b 5.406
_cell_length_c 5.406
_cell_angle_alpha 60.00
_cell_angle_beta 60.00
_cell_angle_gamma 60.00
_symmetry_space_group_name_H-M 'P 1'
_symmetry_Int_Tables_number 1
_symmetry_space_group_name_Hall 'P 1'
loop_
_atom_site_label
_atom_site_type_symbol
_atom_site_fract_x
_atom_site_fract_y
_atom_site_fract_z
_atom_site_occupancy
Tl1 Tl 0.000 0.000 0.000 1
In1 In 0.750 0.750 0.750 1
Hg1 Hg 0.250 0.250 0.250 1
Hg2 Hg 0.500 0.500 0.500 1
```

Record 3
Entry from Alexandria via LeMat-Bulk: crystalline Tl4In5Hg2 at its relaxed geometry (GGA-PBE).

V = 28.56 A^3/atom
N(E_F) = 4.74 states/eV/cell
Final energy = -2.141 eV/atom
Theoretical density = 9.5 Mg/m³

Cell and atoms, written as CIF:
```
data_Tl4In5Hg2
_cell_length_a 8.427
_cell_length_b 3.322
_cell_length_c 11.237
_cell_angle_alpha 90.00
_cell_angle_beta 92.86
_cell_angle_gamma 90.00
_symmetry_space_group_name_H-M 'P 1'
_symmetry_Int_Tables_number 1
_symmetry_space_group_name_Hall 'P 1'
loop_
_atom_site_label
_atom_site_type_symbol
_atom_site_fract_x
_atom_site_fract_y
_atom_site_fract_z
_atom_site_occupancy
Tl1 Tl 0.153 0.000 0.404 1
Tl2 Tl 0.303 0.000 0.949 1
Tl3 Tl 0.697 0.000 0.051 1
Tl4 Tl 0.847 0.000 0.596 1
In1 In 0.210 0.500 0.680 1
In2 In 0.416 0.500 0.218 1
In3 In 0.500 0.500 0.500 1
In4 In 0.584 0.500 0.782 1
In5 In 0.790 0.500 0.320 1
Hg1 Hg 0.054 0.500 0.137 1
Hg2 Hg 0.946 0.500 0.863 1
```

Record 4
Entry from Alexandria via LeMat-Bulk: crystalline Tl10In6Hg at its relaxed geometry (GGA-PBE).

V = 30.25 A^3/atom
N(E_F) = 7.65 states/eV/cell
Final energy = -2.337 eV/atom
Theoretical density = 9.5 Mg/m³

Cell and atoms, written as CIF:
```
data_Tl10In6Hg
_cell_length_a 9.550
_cell_length_b 9.550
_cell_length_c 6.511
_cell_angle_alpha 90.00
_cell_angle_beta 90.00
_cell_angle_gamma 120.00
_symmetry_space_group_name_H-M 'P 1'
_symmetry_Int_Tables_number 1
_symmetry_space_group_name_Hall 'P 1'
loop_
_atom_site_label
_atom_site_type_symbol
_atom_site_fract_x
_atom_site_fract_y
_atom_site_fract_z
_atom_site_occupancy
Tl1 Tl 0.000 0.267 0.293 1
Tl2 Tl 0.000 0.733 0.707 1
Tl3 Tl 0.267 0.000 0.293 1
Tl4 Tl 0.267 0.267 0.707 1
Tl5 Tl 0.333 0.667 0.000 1
Tl6 Tl 0.333 0.667 0.500 1
Tl7 Tl 0.667 0.333 0.000 1
Tl8 Tl 0.667 0.333 0.500 1
Tl9 Tl 0.733 0.000 0.707 1
Tl10 Tl 0.733 0.733 0.293 1
In1 In 0.000 0.387 0.781 1
In2 In 0.000 0.613 0.219 1
In3 In 0.387 0.000 0.781 1
In4 In 0.387 0.387 0.219 1
In5 In 0.613 0.000 0.219 1
In6 In 0.613 0.613 0.781 1
Hg1 Hg 0.000 0.000 0.000 1
```

Record 5
Entry from Alexandria via LeMat-Bulk: crystalline Tl12In5Hg3 at its relaxed geometry (GGA-PBE).

V = 35.58 A^3/atom
N(E_F) = 39.63 states/eV/cell
Final energy = -1.966 eV/atom
Theoretical density = 8.5 Mg/m³

Cell and atoms, written as CIF:
```
data_Tl12In5Hg3
_cell_length_a 15.464
_cell_length_b 15.464
_cell_length_c 15.464
_cell_angle_alpha 109.47
_cell_angle_beta 109.47
_cell_angle_gamma 109.47
_symmetry_space_group_name_H-M 'P 1'
_symmetry_Int_Tables_number 1
_symmetry_space_group_name_Hall 'P 1'
loop_
_atom_site_label
_atom_site_type_symbol
_atom_site_fract_x
_atom_site_fract_y
_atom_site_fract_z
_atom_site_occupancy
Tl1 Tl 0.064 0.231 0.134 1
Tl2 Tl 0.064 0.333 0.930 1
Tl3 Tl 0.070 0.634 0.403 1
Tl4 Tl 0.070 0.936 0.667 1
Tl5 Tl 0.097 0.731 0.667 1
Tl6 Tl 0.097 0.866 0.430 1
Tl7 Tl 0.134 0.064 0.231 1
Tl8 Tl 0.134 0.570 0.903 1
Tl9 Tl 0.167 0.231 0.597 1
Tl10 Tl 0.167 0.436 0.570 1
Tl11 Tl 0.231 0.134 0.064 1
Tl12 Tl 0.231 0.597 0.167 1
Tl13 Tl 0.269 0.333 0.903 1
Tl14 Tl 0.269 0.436 0.366 1
Tl15 Tl 0.333 0.903 0.269 1
Tl16 Tl 0.333 0.930 0.064 1
Tl17 Tl 0.366 0.269 0.436 1
Tl18 Tl 0.366 0.597 0.930 1
Tl19 Tl 0.403 0.070 0.634 1
Tl20 Tl 0.403 0.833 0.769 1
Tl21 Tl 0.430 0.097 0.866 1
Tl22 Tl 0.430 0.833 0.564 1
Tl23 Tl 0.436 0.366 0.269 1
Tl24 Tl 0.436 0.570 0.167 1
Tl25 Tl 0.564 0.430 0.833 1
Tl26 Tl 0.564 0.634 0.731 1
Tl27 Tl 0.570 0.167 0.436 1
Tl28 Tl 0.570 0.903 0.134 1
Tl29 Tl 0.597 0.167 0.231 1
Tl30 Tl 0.597 0.930 0.366 1
Tl31 Tl 0.634 0.403 0.070 1
Tl32 Tl 0.634 0.731 0.564 1
Tl33 Tl 0.667 0.070 0.936 1
Tl34 Tl 0.667 0.097 0.731 1
Tl35 Tl 0.731 0.564 0.634 1
Tl36 Tl 0.731 0.667 0.097 1
Tl37 Tl 0.769 0.403 0.833 1
Tl38 Tl 0.769 0.866 0.936 1
Tl39 Tl 0.833 0.564 0.430 1
Tl40 Tl 0.833 0.769 0.403 1
Tl41 Tl 0.866 0.430 0.097 1
Tl42 Tl 0.866 0.936 0.769 1
Tl43 Tl 0.903 0.134 0.570 1
Tl44 Tl 0.903 0.269 0.333 1
Tl45 Tl 0.930 0.064 0.333 1
Tl46 Tl 0.930 0.366 0.597 1
Tl47 Tl 0.936 0.667 0.070 1
Tl48 Tl 0.936 0.769 0.866 1
In1 In 0.000 0.000 0.000 1
In2 In 0.000 0.000 0.500 1
In3 In 0.000 0.500 0.000 1
In4 In 0.000 0.500 0.500 1
In5 In 0.125 0.750 0.875 1
In6 In 0.125 0.875 0.250 1
In7 In 0.250 0.125 0.875 1
In8 In 0.250 0.625 0.375 1
In9 In 0.375 0.250 0.625 1
In10 In 0.375 0.625 0.750 1
In11 In 0.500 0.000 0.000 1
In12 In 0.500 0.000 0.500 1
In13 In 0.500 0.500 0.000 1
In14 In 0.500 0.500 0.500 1
In15 In 0.625 0.375 0.250 1
In16 In 0.625 0.750 0.375 1
In17 In 0.750 0.375 0.625 1
In18 In 0.750 0.875 0.125 1
In19 In 0.875 0.125 0.750 1
In20 In 0.875 0.250 0.125 1
Hg1 Hg 0.125 0.250 0.375 1
Hg2 Hg 0.125 0.375 0.750 1
Hg3 Hg 0.250 0.375 0.125 1
Hg4 Hg 0.250 0.875 0.625 1
Hg5 Hg 0.375 0.125 0.250 1
Hg6 Hg 0.375 0.750 0.125 1
Hg7 Hg 0.625 0.250 0.875 1
Hg8 Hg 0.625 0.875 0.750 1
Hg9 Hg 0.750 0.125 0.375 1
Hg10 Hg 0.750 0.625 0.875 1
Hg11 Hg 0.875 0.625 0.250 1
Hg12 Hg 0.875 0.750 0.625 1
```

Record 6
Entry from Alexandria via LeMat-Bulk: crystalline Tl2InHg at its relaxed geometry (GGA-PBE).

V = 30.66 A^3/atom
N(E_F) = 3.89 states/eV/cell
Final energy = -1.880 eV/atom
Theoretical density = 9.8 Mg/m³

Cell and atoms, written as CIF:
```
data_Tl2InHg
_cell_length_a 6.952
_cell_length_b 6.952
_cell_length_c 6.952
_cell_angle_alpha 102.57
_cell_angle_beta 102.57
_cell_angle_gamma 124.39
_symmetry_space_group_name_H-M 'P 1'
_symmetry_Int_Tables_number 1
_symmetry_space_group_name_Hall 'P 1'
loop_
_atom_site_label
_atom_site_type_symbol
_atom_site_fract_x
_atom_site_fract_y
_atom_site_fract_z
_atom_site_occupancy
Tl1 Tl 0.119 0.625 0.994 1
Tl2 Tl 0.375 0.369 0.494 1
Tl3 Tl 0.631 0.125 0.006 1
Tl4 Tl 0.875 0.881 0.506 1
In1 In 0.250 0.750 0.500 1
In2 In 0.500 0.500 0.000 1
Hg1 Hg 0.000 0.000 0.000 1
Hg2 Hg 0.750 0.250 0.500 1
```